An optimized crystal structure of Ta3BiOs. Source: Alexandria, functional GGA-PBE.

a = 4.997 Å, b = 4.997 Å, c = 4.997 Å
α = 90.00°, β = 90.00°, γ = 90.00°
Atoms (fractional coordinates):
1 Os 0.500 0.500 0.500
2 Bi 0.000 0.000 0.000
3 Ta 0.000 0.500 0.000
4 Ta 0.000 0.000 0.500
5 Ta 0.500 0.000 0.000

Computed properties:
As for the formation energy: 2867.7 meV per atom. As for the distance to the lowest polymorph of the same formula: 1893.3 meV per atom. For the total energy, the calculation gives -7.2660 eV/atom. The magnetization is 0.00 μB/f.u. Its density of states at the Fermi level is 5.486 states/eV/cell.